[1]
# Dy12InCu5

Dy12InCu5 after structural relaxation (PBE-GGA, the Alexandria database).

```
data_Dy12InCu5
_chemical_formula_sum 'Dy24 In2 Cu10'
_symmetry_space_group_name_H-M 'I m m m'
_symmetry_Int_Tables_number 71
_symmetry_space_group_name_Hall '-I 2 2'
_cell_length_a 9.426
_cell_length_b 9.634
_cell_length_c 10.158
_cell_angle_alpha 90.00
_cell_angle_beta 90.00
_cell_angle_gamma 90.00
loop_
_atom_site_label
_atom_site_fract_x
_atom_site_fract_y
_atom_site_fract_z
Dy1 0.000 0.190 0.231
Dy2 0.197 0.500 0.179
Dy3 0.220 0.320 0.500
In1 0.000 0.000 0.500
Cu1 0.000 0.000 0.000
Cu2 0.000 0.355 0.000
Cu3 0.000 0.500 0.380
```

Calculated values
total magnetization	0.000	μB per cell
Fermi-level density of states	17.91	states/eV/f.u.
formation energy	-0.1988	eV/atom

---

[2]
# Dy3In4Cu2

Dy3In4Cu2 after structural relaxation (PBE-GGA, the Alexandria database).

```
data_Dy3In4Cu2
_chemical_formula_sum 'Dy6 In8 Cu4'
_symmetry_space_group_name_H-M 'C 1 2/m 1'
_symmetry_Int_Tables_number 12
_cell_length_a 10.927
_cell_length_b 4.715
_cell_length_c 8.946
_cell_angle_alpha 90.00
_cell_angle_beta 115.08
_cell_angle_gamma 90.00
loop_
_symmetry_equiv_pos_as_xyz
'x,y,z'
'-x,-y,-z'
'-x,y,-z'
'x,-y,z'
'x+1/2,y+1/2,z'
'-x+1/2,-y+1/2,-z'
'-x+1/2,y+1/2,-z'
'x+1/2,-y+1/2,z'
loop_
_atom_site_label
_atom_site_fract_x
_atom_site_fract_y
_atom_site_fract_z
Dy1 0.000 0.000 0.000
Dy2 0.172 0.500 0.650
In1 0.039 0.000 0.365
In2 0.228 0.500 0.080
Cu1 0.098 0.500 0.272
```

Calculated values
total magnetization	0.000	μB per cell
Fermi-level density of states	5.00	states/eV/f.u.
formation energy	-0.3839	eV/atom